A relaxed structure of ZrTeOs4, computed with PBE.

```
data_ZrTeOs4
_chemical_formula_sum 'Zr1 Te1 Os4'
_symmetry_space_group_name_H-M 'P 1'
_symmetry_Int_Tables_number 1
_cell_length_a 5.289
_cell_length_b 5.289
_cell_length_c 5.289
_cell_angle_alpha 60.00
_cell_angle_beta 60.00
_cell_angle_gamma 60.00
loop_
_symmetry_equiv_pos_as_xyz
'x,y,z'
loop_
_atom_site_label
_atom_site_fract_x
_atom_site_fract_y
_atom_site_fract_z
_atom_site_occupancy
Os1 0.375 0.375 0.375 1
Os2 0.375 0.375 0.875 1
Zr1 0.000 0.000 0.000 1
Os3 0.875 0.375 0.375 1
Os4 0.375 0.875 0.375 1
Te1 0.750 0.750 0.750 1
```

Values from the calculation:
Energy relative to the elements, uncorrected, meV/atom: 382
SG: F-43m, No. 216